Compound: Rb2MoS2O2
Source: Alexandria via LeMat-Bulk
Functional: GGA+U
Structure: optimized geometry

Cell lengths 8.7048, 6.9035, 14.2684 Å; angles 65.57, 90.00, 90.00 degrees
Positions (direct):
Rb: 0.8134 0.6752 0.5501
Rb: 0.3134 0.3248 0.9499
Rb: 0.1866 0.3248 0.4499
Rb: 0.6866 0.6752 0.0501
Rb: 0.0140 0.8426 0.7989
Rb: 0.5140 0.1574 0.7011
Rb: 0.9860 0.1574 0.2011
Rb: 0.4860 0.8426 0.2989
Mo: 0.2918 0.7253 0.5841
Mo: 0.7918 0.2747 0.9159
Mo: 0.7082 0.2747 0.4159
Mo: 0.2082 0.7253 0.0841
S: 0.3332 0.8457 0.9321
S: 0.8332 0.1543 0.5679
S: 0.6668 0.1543 0.0679
S: 0.1668 0.8457 0.4321
S: 0.1670 0.4398 0.6958
S: 0.6670 0.5602 0.8042
S: 0.8330 0.5602 0.3042
S: 0.3330 0.4398 0.1958
O: 0.4799 0.6503 0.5657
O: 0.9799 0.3497 0.9343
O: 0.5201 0.3497 0.4343
O: 0.0201 0.6503 0.0657
O: 0.2930 0.9294 0.6296
O: 0.7930 0.0706 0.8704
O: 0.7070 0.0706 0.3704
O: 0.2070 0.9294 0.1296

mass density: 3089 kg/m³
uncorrected energy: -5.2189 eV per atom